Entry 1:
# Tb7Hg2Sb2

A relaxed structure of Tb7Hg2Sb2 (GGA-PBE, the Alexandria database).

abc: 6.8512 6.8512 7.5971
angles: 90.00 90.00 105.97
With the nearest neighbours (Å) after each atom.
Sites, in units of the cell vectors:
Tb 0.0000 0.0000 0.0000  2 Sb 3.12
Tb 0.0000 0.5000 0.2824  2 Sb 3.00, 2 Hg 3.25, 1 Tb 3.31
Tb 0.0000 0.5000 0.7176  2 Sb 3.00, 2 Hg 3.25, 1 Tb 3.31
Tb 0.5000 0.0000 0.2824  2 Sb 3.00, 2 Hg 3.25, 1 Tb 3.31
Tb 0.5000 0.0000 0.7176  2 Sb 3.00, 2 Hg 3.25, 1 Tb 3.31
Tb 0.5000 0.5000 0.2716  2 Sb 3.13, 2 Hg 3.17, 5 Tb 3.43-3.47
Tb 0.5000 0.5000 0.7284  2 Sb 3.13, 2 Hg 3.17, 5 Tb 3.43-3.47
Hg 0.1790 0.1790 0.5000  1 Hg 2.95, 6 Tb 3.17-3.25
Hg 0.8210 0.8210 0.5000  1 Hg 2.95, 6 Tb 3.17-3.25
Sb 0.2855 0.7145 0.0000  7 Tb 3.00-3.13
Sb 0.7145 0.2855 0.0000  7 Tb 3.00-3.13

## Properties
SG: Cmmm

---

Entry 2:
# Tb5HgSb2

A relaxed structure of Tb5HgSb2 (GGA-PBE, the Alexandria database).

abc: 6.4891 6.4891 14.4809
angles: 90.00 90.00 127.13
With the nearest neighbours (Å) after each atom.
Sites, in units of the cell vectors:
Tb 0.0711 0.9289 0.6028  2 Sb 3.13-3.36, 1 Hg 3.40, 1 Tb 3.41
Tb 0.0711 0.9289 0.8972  2 Sb 3.13-3.36, 1 Hg 3.40, 1 Tb 3.41
Tb 0.3784 0.6216 0.5526  1 Hg 3.00, 3 Sb 3.10-3.12, 1 Tb 3.21
Tb 0.3784 0.6216 0.9474  1 Hg 3.00, 3 Sb 3.10-3.12, 1 Tb 3.21
Tb 0.3957 0.6043 0.2500  2 Sb 3.10
Tb 0.6043 0.3957 0.7500  2 Sb 3.10
Tb 0.6216 0.3784 0.0526  1 Hg 3.00, 3 Sb 3.10-3.12, 1 Tb 3.21
Tb 0.6216 0.3784 0.4474  1 Hg 3.00, 3 Sb 3.10-3.12, 1 Tb 3.21
Tb 0.9289 0.0711 0.1028  2 Sb 3.13-3.36, 1 Hg 3.40, 1 Tb 3.41
Tb 0.9289 0.0711 0.3972  2 Sb 3.13-3.36, 1 Hg 3.40, 1 Tb 3.41
Hg 0.2986 0.7014 0.7500  2 Tb 3.00
Hg 0.7014 0.2986 0.2500  2 Tb 3.00
Sb 0.1985 0.8015 0.1055  6 Tb 3.10-3.36
Sb 0.1985 0.8015 0.3945  6 Tb 3.10-3.36
Sb 0.8015 0.1985 0.6055  6 Tb 3.10-3.36
Sb 0.8015 0.1985 0.8945  6 Tb 3.10-3.36

## Properties
SG: Cmcm

---

Entry 3:
# TbHg2Sb

A relaxed structure of TbHg2Sb (GGA-PBE, the Alexandria database).

abc: 11.6569 11.6569 11.6569
angles: 16.87 16.87 16.87
With the nearest neighbours (Å) after each atom.
Sites, in units of the cell vectors:
Tb 0.0000 0.0000 0.0000  2 Hg 3.03
Hg 0.0880 0.0880 0.0880  1 Tb 3.03, 3 Sb 3.35
Hg 0.9120 0.9120 0.9120  1 Tb 3.03, 3 Sb 3.35
Sb 0.5000 0.5000 0.5000  6 Hg 3.35, 6 Sb 3.42

## Properties
SG: R-3m

---

Entry 4:
# TbHgSb2

A relaxed structure of TbHgSb2 (GGA-PBE, the Alexandria database).

abc: 9.2324 9.2324 9.2324
angles: 27.93 27.93 27.93
With the nearest neighbours (Å) after each atom.
Sites, in units of the cell vectors:
Tb 0.0000 0.0000 0.0000  6 Sb 3.10
Hg 0.5000 0.5000 0.5000  2 Sb 2.71
Sb 0.3983 0.3983 0.3983  1 Hg 2.71
Sb 0.6017 0.6017 0.6017  1 Hg 2.71

## Properties
SG: R-3m
E above lowest polymorph in meV/atom: 211

---

Entry 5:
# Tb2HgSb

A relaxed structure of Tb2HgSb (GGA-PBE, the Alexandria database).

abc: 5.3155 5.3155 5.3155
angles: 60.00 60.00 60.00
With the nearest neighbours (Å) after each atom.
Sites, in units of the cell vectors:
Tb 0.2500 0.2500 0.2500  4 Hg 3.26, 4 Sb 3.26
Tb 0.7500 0.7500 0.7500  4 Hg 3.26, 4 Sb 3.26
Hg 0.0000 0.0000 0.0000  8 Tb 3.26
Sb 0.5000 0.5000 0.5000  8 Tb 3.26

## Properties
SG: Fm-3m
E above lowest polymorph in meV/atom: 143

---

Entry 6:
# TbHgSb2

A relaxed structure of TbHgSb2 (GGA-PBE, the Alexandria database).

abc: 4.9350 4.9350 4.2510
angles: 90.00 90.00 90.00
With the nearest neighbours (Å) after each atom.
Sites, in units of the cell vectors:
Tb 0.0000 0.0000 0.0000  8 Sb 3.26, 4 Hg 3.49
Hg 0.5000 0.5000 0.0000  8 Sb 3.26, 4 Tb 3.49
Sb 0.0000 0.5000 0.5000  4 Hg 3.26, 4 Tb 3.26, 4 Sb 3.49
Sb 0.5000 0.0000 0.5000  4 Hg 3.26, 4 Tb 3.26, 4 Sb 3.49

## Properties
SG: P4/mmm
E above lowest polymorph in meV/atom: 0

---

Values of DFT total energy, in order: -44.82 -34.90 -8.79 -14.13 -16.16 -14.98, all in eV per formula unit.
Values of size of the total moment, in order: 0.01 0.00 0.00 0.00 0.00 0.00, all in μB per formula unit.
Values of uncorrected formation energy, in order: -0.324 -0.400 0.142 -0.239 -0.618 -0.451, all in eV/atom.